Entry from Alexandria via LeMat-Bulk: an optimized crystal structure of MoOs2O (PBE with a Hubbard U).

## Properties
Total energy = -119.5 eV per cell
Polymorph energy (0 for the lowest one) = 191 meV per atom
Total magnetic moment = 0.00 μB/cell
D(E_F) = 2.6 states/eV/f.u.

```
data_MoOs2O
_symmetry_space_group_name_H-M 'F m -3 m'
_symmetry_Int_Tables_number 225
_symmetry_space_group_name_Hall '-F 4 2 3'
_cell_length_a 6.062
_cell_length_b 6.062
_cell_length_c 6.062
_cell_angle_alpha 90.00
_cell_angle_beta 90.00
_cell_angle_gamma 90.00
loop_
_atom_site_label
_atom_site_fract_x
_atom_site_fract_y
_atom_site_fract_z
Mo1 0.000 0.000 0.000
Os1 0.250 0.250 0.250
O1 0.000 0.000 0.500
```